Record 1
Density functional theory data (SCAN) for a PBEsol-optimized structure of HfZn2HgOs.

CIF file:
```
data_HfZn2HgOs
_chemical_formula_sum 'Hf1 Zn2 Hg1 Os1'
_cell_length_a 4.920
_cell_length_b 4.920
_cell_length_c 5.180
_cell_angle_alpha 90.00
_cell_angle_beta 90.00
_cell_angle_gamma 90.00
_space_group_name_H-M_alt 'P 4/m m m'
_space_group_IT_number 123
_space_group_name_Hall '-P 4 2'
loop_
_atom_site_label
_atom_site_fract_x
_atom_site_fract_y
_atom_site_fract_z
Hf1 0.000 0.000 0.000
Zn1 0.000 0.500 0.000
Hg1 0.000 0.000 0.500
Os1 0.500 0.500 0.500
```

Output
**Final energy**: -219.666 eV/cell

Record 2
Density functional theory data (SCAN) for a PBEsol-optimized structure of RuPt4.

CIF file:
```
data_RuPt4
_chemical_formula_sum 'Ru2 Pt8'
_cell_length_a 6.138
_cell_length_b 6.138
_cell_length_c 3.878
_cell_angle_alpha 90.00
_cell_angle_beta 90.00
_cell_angle_gamma 90.00
_space_group_name_H-M_alt 'I 4/m'
_space_group_IT_number 87
_space_group_name_Hall '-I 4'
loop_
_atom_site_label
_atom_site_fract_x
_atom_site_fract_y
_atom_site_fract_z
Ru1 0.000 0.000 0.000
Pt1 0.102 0.297 0.500
```

Output
**Final energy**: -631.087 eV/cell

Record 3
Density functional theory data (SCAN) for a PBEsol-optimized structure of MgCoSi2.

CIF file:
```
data_MgCoSi2
_chemical_formula_sum 'Mg4 Co4 Si8'
_cell_length_a 4.297
_cell_length_b 4.297
_cell_length_c 15.029
_cell_angle_alpha 90.00
_cell_angle_beta 90.00
_cell_angle_gamma 90.00
_space_group_name_H-M_alt 'I -4 2 d'
_space_group_IT_number 122
_space_group_name_Hall 'I -4 2bw'
loop_
_atom_site_label
_atom_site_fract_x
_atom_site_fract_y
_atom_site_fract_z
Mg1 0.000 0.000 0.000
Co1 0.000 0.000 0.500
Si1 0.117 0.250 0.625
```

Output
**E_form (uncorrected)**: 0.25 eV per atom

Number 1: total moment 2.00 μB/cell. Number 2: total moment 0.00 μB/cell. Number 3: total moment 0.01 μB/cell.